# CsCoPb2F

CsCoPb2F after structural relaxation (PBE with a Hubbard U, Alexandria).

Cell lengths 6.019, 4.535, 6.019 Å; angles 90.00, 90.00, 90.00 degrees
Sites, in units of the cell vectors:
1 Co 0.000 0.500 0.000
2 Pb 0.500 0.000 0.000
3 F 0.500 0.500 0.500
4 Pb 0.000 0.000 0.500
5 Cs 0.000 0.000 0.000

Values from the calculation:
The mass density is 6.319 g/cm3. Its calculated total energy is -0.0543 Ha/atom.